1.
# LaTmRuPt

Crystalline LaTmRuPt at its relaxed geometry (PBE, the Alexandria database).

a = 4.963 Å, b = 4.963 Å, c = 4.963 Å
α = 60.00°, β = 60.00°, γ = 60.00°
Fractional positions:
La  0.000  0.000  0.000
Tm  0.500  0.500  0.500
Ru  0.750  0.750  0.750
Pt  0.250  0.250  0.250

Values from the calculation:
- Formation enthalpy at 0 K: -671.3 meV per atom
- Fermi-level density of states: 3.06 states/eV/cell
- Uncorrected energy: -6.850 eV per atom
- Symmetry: F-43m



2.
# DyNi6Sn6

Crystalline DyNi6Sn6 at its relaxed geometry (PBE, the Alexandria database).

a = 6.944 Å, b = 6.944 Å, c = 6.944 Å
α = 133.72°, β = 102.94°, γ = 94.87°
Fractional positions:
Dy  0.000  0.000  0.000
Ni  0.000  0.000  0.500
Ni  0.000  0.500  0.000
Ni  0.250  0.500  0.750
Ni  0.500  0.000  0.000
Ni  0.500  0.500  0.500
Ni  0.750  0.500  0.250
Sn  0.168  0.668  0.500
Sn  0.336  0.000  0.336
Sn  0.336  0.336  0.000
Sn  0.664  0.000  0.664
Sn  0.664  0.664  0.000
Sn  0.832  0.332  0.500

Values from the calculation:
- Formation enthalpy at 0 K: -309.8 meV per atom
- Fermi-level density of states: 6.88 states/eV/cell
- Uncorrected energy: -5.180 eV per atom
- Symmetry: Immm



3.
# CePbO3

Crystalline CePbO3 at its relaxed geometry (PBE, the Alexandria database).

a = 6.840 Å, b = 6.840 Å, c = 7.848 Å
α = 90.00°, β = 90.00°, γ = 78.98°
Fractional positions:
Ce  0.028  0.972  0.750
Ce  0.451  0.549  0.750
Ce  0.549  0.451  0.250
Ce  0.972  0.028  0.250
Pb  0.000  0.500  0.000
Pb  0.000  0.500  0.500
Pb  0.500  0.000  0.000
Pb  0.500  0.000  0.500
O  0.117  0.632  0.750
O  0.144  0.856  0.063
O  0.144  0.856  0.437
O  0.368  0.883  0.750
O  0.371  0.371  0.000
O  0.371  0.371  0.500
O  0.629  0.629  0.000
O  0.629  0.629  0.500
O  0.632  0.117  0.250
O  0.856  0.144  0.563
O  0.856  0.144  0.937
O  0.883  0.368  0.250

Values from the calculation:
- Uncorrected energy: -7.052 eV per atom
- E_form (uncorrected): -2.149 eV per atom
- Symmetry: Cmcm



4.
# Ca3Sc3CuSe8

Crystalline Ca3Sc3CuSe8 at its relaxed geometry (PBE, the Alexandria database).

a = 8.083 Å, b = 8.083 Å, c = 8.083 Å
α = 58.64°, β = 58.64°, γ = 58.64°
Fractional positions:
Ca  0.000  0.500  0.500
Ca  0.500  0.000  0.500
Ca  0.500  0.500  0.000
Sc  0.000  0.000  0.500
Sc  0.000  0.500  0.000
Sc  0.500  0.000  0.000
Cu  0.500  0.500  0.500
Se  0.239  0.742  0.742
Se  0.244  0.244  0.244
Se  0.258  0.258  0.761
Se  0.258  0.761  0.258
Se  0.742  0.239  0.742
Se  0.742  0.742  0.239
Se  0.756  0.756  0.756
Se  0.761  0.258  0.258

Values from the calculation:
- Fermi-level density of states: 5.78 states/eV/cell
- Uncorrected energy: -5.354 eV per atom
- E_form (uncorrected): -1.556 eV per atom
- Symmetry: R-3m